# CaPbO3

An optimized crystal structure of CaPbO3 (PBEsol, the Alexandria database).

Properties
Raw formation energy: -1.7863 eV per atom
Crystal system: orthorhombic

Lattice parameters (Å, degrees): 5.9088 8.1518 5.6693 90.00 90.00 90.00
Space group Pnma (No. 62)
Unique sites:
Ca 0.0608 0.2500 0.0186 [4 per cell]
Pb 0.0000 0.0000 0.5000 [4 per cell]
O 0.0625 0.7500 0.3699 [4 per cell]
O 0.1956 0.5686 0.8093 [8 per cell]

=====

# HfTi3Cu

An optimized crystal structure of HfTi3Cu (PBEsol, the Alexandria database).

Properties
Crystal system: cubic
Formation enthalpy at 0 K: 1459 meV per atom

Lattice parameters (Å, degrees): 4.7228 4.7228 4.7228 90.00 90.00 90.00
Space group Pm-3m (No. 221)
Unique sites:
Hf 0.0000 0.0000 0.0000 [1 per cell]
Ti 0.0000 0.0000 0.5000 [3 per cell]
Cu 0.5000 0.5000 0.5000 [1 per cell]

=====

# KLa2Re

An optimized crystal structure of KLa2Re (PBEsol, the Alexandria database).

Properties
Excess energy over the best structure of this formula in the dataset: 361 meV/atom
Crystal system: tetragonal
Formation enthalpy at 0 K: 978 meV per atom

Lattice parameters (Å, degrees): 4.4654 4.4654 10.1299 90.00 90.00 90.00
Space group I-4m2 (No. 119)
Unique sites:
K 0.0000 0.0000 0.0000 [2 per cell]
La 0.0000 0.0000 0.5000 [2 per cell]
La 0.0000 0.5000 0.2500 [2 per cell]
Re 0.0000 0.5000 0.7500 [2 per cell]